Material: NpU3N7
Method: DFT, GGA-PBE
State: optimized geometry

CIF file:
```
data_NpU3N7
_cell_length_a 7.5267
_cell_length_b 10.6126
_cell_length_c 7.4320
_cell_angle_alpha 90.00
_cell_angle_beta 90.00
_cell_angle_gamma 90.00
_symmetry_space_group_name_H-M 'C m c m'
_symmetry_Int_Tables_number 63
_symmetry_space_group_name_Hall '-C 2c 2'
loop_
_atom_site_label
_atom_site_type_symbol
_atom_site_fract_x
_atom_site_fract_y
_atom_site_fract_z
Np1 Np 0.0000 0.0000 0.0000
U1 U 0.0000 0.5000 0.0000
U2 U 0.2356 0.2402 0.2500
N1 N 0.0000 0.1023 0.2500
N2 N 0.0000 0.3648 0.2500
N3 N 0.0000 0.3679 0.7500
N4 N 0.2275 0.1263 0.5226
```

Output
* ΔE_f (raw): -1326 meV per atom
* size of the total moment: 4.05 μB per formula unit
* crystal system: orthorhombic